Ce4CdSn | GGA-PBE | optimized geometry

Properties
Calculated formation energy: -0.24 eV per atom
Density of states at the Fermi level: 28.21 states/eV per cell
Polymorph energy (0 for the lowest one): 0.0 meV per atom

Unit cell a=7.8421 b=7.8421 c=6.2645 alpha=102.36 beta=102.36 gamma=113.18
Fractional coordinates of all 12 atoms:
Ce1 0.0751 0.6586 0.9240
Ce2 0.2051 0.4443 0.6655
Ce3 0.3414 0.9249 0.5760
Ce4 0.4443 0.2051 0.1655
Ce5 0.5557 0.7949 0.8345
Ce6 0.6586 0.0751 0.4240
Ce7 0.7949 0.5557 0.3345
Ce8 0.9249 0.3414 0.0760
Cd1 0.4011 0.5989 0.2500
Cd2 0.5989 0.4011 0.7500
Sn1 0.0009 0.9991 0.2500
Sn2 0.9991 0.0009 0.7500